## V2CuOs (PBE)

Data for V2CuOs after structural relaxation.

M_tot, μB/atom: 0.000
E_form, meV/atom: -20

Cell lengths 3.070, 3.070, 5.652 Å; angles 90.00, 90.00, 90.00 degrees
Space group P4/mmm (No. 123)
Symmetry-distinct sites (fractional):
V (0.000, 0.000, 0.242) x2
Cu (0.500, 0.500, 0.000) x1
Os (0.500, 0.500, 0.500) x1

## Pr3Ag (PBE)

Data for Pr3Ag after structural relaxation.

Relative energy among the computed polymorphs, eV per atom: 0.092
M_tot, μB/atom: 0.000
E_form, meV/atom: 8

Cell lengths 4.969, 4.969, 4.969 Å; angles 90.00, 90.00, 90.00 degrees
Space group Pm-3m (No. 221)
Symmetry-distinct sites (fractional):
Pr (0.000, 0.000, 0.500) x3
Ag (0.500, 0.500, 0.500) x1

## CsTl6Hg4 (PBE)

Data for CsTl6Hg4 after structural relaxation.

M_tot, μB/atom: 0.000
E_form, meV/atom: -87

Cell lengths 9.1406, 9.1406, 5.0292 Å; angles 90.00, 90.00, 120.00 degrees
Space group P-6m2 (No. 187)
Symmetry-distinct sites (fractional):
Cs (0.0000, 0.0000, 0.0000) x1
Tl (0.2035, 0.4070, 0.5000) x3
Tl (0.5347, 0.0694, 0.0000) x3
Hg (0.3333, 0.6667, 0.0000) x1
Hg (0.4083, 0.2042, 0.5000) x3

## Nd3AgSe5 (PBE)

Data for Nd3AgSe5 after structural relaxation.

M_tot, μB/atom: 0.000
Energy relative to the elements, uncorrected, meV per atom: -1408

Cell lengths 7.998, 7.998, 14.437 Å; angles 90.00, 90.00, 90.00 degrees
Space group I4/mcm (No. 140)
Symmetry-distinct sites (fractional):
Nd (0.000, 0.000, 0.250) x4
Nd (0.153, 0.347, 0.000) x8
Ag (0.000, 0.500, 0.250) x4
Se (0.000, 0.000, 0.000) x4
Se (0.176, 0.324, 0.359) x16

## ScCd2Rh3 (PBE)

Data for ScCd2Rh3 after structural relaxation.

M_tot, μB/atom: 0.000
E_form, meV/atom: -449

Cell lengths 4.5643, 4.5643, 11.1363 Å; angles 90.00, 90.00, 120.00 degrees
Space group P-3m1 (No. 164)
Symmetry-distinct sites (fractional):
Sc (0.3333, 0.6667, 0.1667) x2
Cd (0.0000, 0.0000, 0.0000) x1
Cd (0.0000, 0.0000, 0.5000) x1
Cd (0.3333, 0.6667, 0.6654) x2
Rh (0.0000, 0.0000, 0.2477) x2
Rh (0.3333, 0.6667, 0.4117) x2
Rh (0.3333, 0.6667, 0.9175) x2

## ReMo6W2 (PBE)

Data for ReMo6W2 after structural relaxation.

Relative energy among the computed polymorphs, eV per atom: 0.000
M_tot, μB/atom: 0.000
E_form, meV/atom: 151

Cell lengths 7.953, 8.035, 4.497 Å; angles 90.00, 90.00, 90.00 degrees
Space group Pnnm (No. 58)
Symmetry-distinct sites (fractional):
Re (0.000, 0.000, 0.000) x2
Mo (0.000, 0.333, 0.000) x4
Mo (0.163, 0.103, 0.500) x4
Mo (0.166, 0.434, 0.500) x4
W (0.162, 0.771, 0.500) x4

## HoAuS (PBE)

Data for HoAuS after structural relaxation.

M_tot, μB/atom: 0.000
Energy relative to the elements, uncorrected, meV per atom: -1396

Cell lengths 3.805, 3.795, 8.504 Å; angles 90.00, 90.21, 90.00 degrees
Space group P2_1/m (No. 11)
Symmetry-distinct sites (fractional):
Ho (0.248, 0.250, 0.293) x2
Au (0.250, 0.250, 0.953) x2
S (0.252, 0.250, 0.635) x2

## ZnCdCo (PBE)

Data for ZnCdCo after structural relaxation.

Relative energy among the computed polymorphs, eV per atom: 0.252
M_tot, μB/atom: 0.001
E_form, meV/atom: 401

Cell lengths 5.938, 5.938, 5.938 Å; angles 90.00, 90.00, 90.00 degrees
Space group F-43m (No. 216)
Symmetry-distinct sites (fractional):
Zn (0.000, 0.000, 0.000) x4
Cd (0.000, 0.000, 0.500) x4
Co (0.250, 0.250, 0.750) x4

## Li3Mg2Hg (PBE)

Data for Li3Mg2Hg after structural relaxation.

M_tot, μB/atom: 0.000
E_form, meV/atom: -140

Cell lengths 3.062, 4.742, 8.295 Å; angles 90.00, 90.00, 90.00 degrees
Space group Pmm2 (No. 25)
Symmetry-distinct sites (fractional):
Li (0.000, 0.000, 0.000) x1
Li (0.000, 0.000, 0.332) x1
Li (0.000, 0.500, 0.834) x1
Mg (0.500, 0.000, 0.663) x1
Mg (0.500, 0.500, 0.172) x1
Hg (0.000, 0.500, 0.498) x1

## Ti2AsSe6 (PBE)

Data for Ti2AsSe6 after structural relaxation.

M_tot, μB/atom: 0.000
Energy relative to the elements, uncorrected, meV per atom: -744

Cell lengths 17.750, 3.533, 7.911 Å; angles 90.00, 110.79, 90.00 degrees
Space group C2/m (No. 12)
Symmetry-distinct sites (fractional):
Ti (0.169, 0.000, 0.345) x4
As (0.000, 0.500, 0.000) x2
Se (0.016, 0.000, 0.257) x4
Se (0.159, 0.500, 0.104) x4
Se (0.178, 0.500, 0.588) x4

## KCaUI6 (PBE)

Data for KCaUI6 after structural relaxation.

M_tot, μB/atom: 0.333
Energy relative to the elements, uncorrected, meV per atom: -1229

Cell lengths 8.0844, 8.0844, 15.6103 Å; angles 90.00, 90.00, 120.00 degrees
Space group P-31c (No. 163)
Symmetry-distinct sites (fractional):
K (0.0000, 0.0000, 0.0000) x2
Ca (0.3333, 0.6667, 0.2500) x2
U (0.3333, 0.6667, 0.7500) x2
I (0.0011, 0.3655, 0.6341) x12

## TlCuSb2 (PBE)

Data for TlCuSb2 after structural relaxation.

Relative energy among the computed polymorphs, eV per atom: 0.085
M_tot, μB/atom: 0.000
Energy relative to the elements, uncorrected, meV per atom: 140

Cell lengths 3.880, 3.942, 14.150 Å; angles 90.00, 90.00, 90.00 degrees
Space group Imm2 (No. 44)
Symmetry-distinct sites (fractional):
Tl (0.000, 0.000, 0.000) x2
Cu (0.000, 0.500, 0.726) x2
Sb (0.000, 0.000, 0.356) x2
Sb (0.000, 0.500, 0.191) x2

## Sr2BeAl2 (PBE)

Data for Sr2BeAl2 after structural relaxation.

M_tot, μB/atom: 0.000
E_form, meV/atom: 181

Cell lengths 7.023, 7.023, 5.286 Å; angles 90.00, 90.00, 90.00 degrees
Space group P4/mbm (No. 127)
Symmetry-distinct sites (fractional):
Sr (0.177, 0.323, 0.000) x4
Be (0.000, 0.000, 0.500) x2
Al (0.137, 0.637, 0.500) x4

## InHgCl3 (PBE)

Data for InHgCl3 after structural relaxation.

Relative energy among the computed polymorphs, eV per atom: 0.196
M_tot, μB/atom: 0.000
Energy relative to the elements, uncorrected, meV per atom: -603

Cell lengths 5.319, 5.319, 5.319 Å; angles 90.00, 90.00, 90.00 degrees
Space group Pm-3m (No. 221)
Symmetry-distinct sites (fractional):
In (0.000, 0.000, 0.000) x1
Hg (0.500, 0.500, 0.500) x1
Cl (0.000, 0.500, 0.500) x3

## TcRh (PBE)

Data for TcRh after structural relaxation.

Relative energy among the computed polymorphs, eV per atom: 1.166
M_tot, μB/atom: 0.708
E_form, meV/atom: 992

Cell lengths 5.110, 5.110, 5.110 Å; angles 90.00, 90.00, 90.00 degrees
Space group Fm-3m (No. 225)
Symmetry-distinct sites (fractional):
Tc (0.000, 0.000, 0.000) x4
Rh (0.000, 0.000, 0.500) x4

## MgScSb2 (PBE)

Data for MgScSb2 after structural relaxation.

M_tot, μB/atom: 0.000
Energy relative to the elements, uncorrected, meV per atom: -513

Cell lengths 10.977, 4.039, 4.459 Å; angles 90.00, 102.70, 90.00 degrees
Space group Cm (No. 8)
Symmetry-distinct sites (fractional):
Mg (0.000, 0.000, 0.000) x2
Sc (0.224, 0.000, 0.609) x2
Sb (0.248, 0.500, 0.120) x2
Sb (0.497, 0.000, 0.521) x2

## LaBeSi3 (PBE)

Data for LaBeSi3 after structural relaxation.

Relative energy among the computed polymorphs, eV per atom: 0.000
M_tot, μB/atom: 0.000
Energy relative to the elements, uncorrected, meV per atom: 71

Cell lengths 4.505, 4.505, 4.505 Å; angles 90.00, 90.00, 90.00 degrees
Space group Pm-3m (No. 221)
Symmetry-distinct sites (fractional):
La (0.000, 0.000, 0.000) x1
Be (0.500, 0.500, 0.500) x1
Si (0.000, 0.500, 0.500) x3

## Ca4PrSm3Se8 (PBE)

Data for Ca4PrSm3Se8 after structural relaxation.

M_tot, μB/atom: 0.000
Energy relative to the elements, uncorrected, meV per atom: -1901

Cell lengths 8.3283, 8.3283, 20.8826 Å; angles 90.00, 90.00, 120.00 degrees
Space group R-3m (No. 166, hexagonal axes)
Symmetry-distinct sites (fractional):
Ca (0.0000, 0.0000, 0.0000) x3
Ca (0.0000, 0.5000, 0.0000) x9
Pr (0.0000, 0.0000, 0.5000) x3
Sm (0.0000, 0.5000, 0.5000) x9
Se (0.0000, 0.0000, 0.2507) x6
Se (0.0036, 0.5018, 0.7484) x18

## Mg3SnO4 (PBE)

Data for Mg3SnO4 after structural relaxation.

M_tot, μB/atom: 0.000
Energy relative to the elements, uncorrected, meV per atom: -1958

Cell lengths 4.582, 4.582, 4.582 Å; angles 90.00, 90.00, 90.00 degrees
Space group Pm-3m (No. 221)
Symmetry-distinct sites (fractional):
Mg (0.000, 0.000, 0.500) x3
Sn (0.500, 0.500, 0.500) x1
O (0.000, 0.000, 0.000) x1
O (0.000, 0.500, 0.500) x3

## HgWSe2 (PBE)

Data for HgWSe2 after structural relaxation.

M_tot, μB/atom: 0.000
Energy relative to the elements, uncorrected, meV per atom: 489

Cell lengths 2.9215, 2.9215, 35.9023 Å; angles 90.00, 90.00, 120.00 degrees
Space group R-3m (No. 166, hexagonal axes)
Symmetry-distinct sites (fractional):
Hg (0.0000, 0.0000, 0.0000) x3
W (0.0000, 0.0000, 0.5000) x3
Se (0.0000, 0.0000, 0.4290) x6

## CsNbGa3 (PBE)

Data for CsNbGa3 after structural relaxation.

Relative energy among the computed polymorphs, eV per atom: 0.000
M_tot, μB/atom: 0.000
E_form, meV/atom: 201

Cell lengths 5.267, 5.267, 5.267 Å; angles 90.00, 90.00, 90.00 degrees
Space group Pm-3m (No. 221)
Symmetry-distinct sites (fractional):
Cs (0.000, 0.000, 0.000) x1
Nb (0.500, 0.500, 0.500) x1
Ga (0.000, 0.500, 0.500) x3

## CaZr4Mn (PBE)

Data for CaZr4Mn after structural relaxation.

M_tot, μB/atom: 0.653
E_form, meV/atom: 516

Cell lengths 8.408, 8.408, 8.408 Å; angles 90.00, 90.00, 90.00 degrees
Space group F-43m (No. 216)
Symmetry-distinct sites (fractional):
Ca (0.000, 0.000, 0.000) x4
Zr (0.124, 0.124, 0.376) x16
Mn (0.250, 0.250, 0.750) x4

## Y6BiC2 (PBE)

Data for Y6BiC2 after structural relaxation.

M_tot, μB/atom: 0.000
E_form, meV/atom: -196

Cell lengths 14.914, 9.468, 6.646 Å; angles 90.00, 93.86, 90.00 degrees
Space group C2/c (No. 15)
Symmetry-distinct sites (fractional):
Y (0.115, 0.138, 0.181) x8
Y (0.135, 0.469, 0.925) x8
Y (0.206, 0.171, 0.691) x8
Bi (0.000, 0.188, 0.750) x4
C (0.246, 0.421, 0.650) x8

## LaSbRu (PBE)

Data for LaSbRu after structural relaxation.

M_tot, μB/atom: 0.000
Energy relative to the elements, uncorrected, meV per atom: -387

Cell lengths 3.380, 3.380, 11.963 Å; angles 90.00, 90.00, 90.00 degrees
Space group I4mm (No. 107)
Symmetry-distinct sites (fractional):
La (0.000, 0.000, 0.000) x2
Sb (0.000, 0.000, 0.287) x2
Ru (0.000, 0.000, 0.673) x2